(1)
DFT (PBE-GGA) results for an optimized crystal structure of Ag2RhCl.

Summary:
Density of states at the Fermi level ... 1.8 states/eV/cell
Energy above the most stable polymorph in this dataset ... 265 meV per atom

a b c (Å): 3.8756 3.8756 4.7001
angles (deg): 90.00 90.00 90.00
Closest atoms and distances in Å follow each position.
Space group P4/mmm (No. 123)
Inequivalent atoms, fractional coordinates:
Ag 0.0000 0.5000 0.0000 x2  4 Ag 2.74, 4 Cl 3.05, 4 Rh 3.05
Rh 0.0000 0.0000 0.5000 x1  4 Cl 2.74, 8 Ag 3.05
Cl 0.5000 0.5000 0.5000 x1  4 Rh 2.74, 8 Ag 3.05


(2)
DFT (PBE-GGA) results for an optimized crystal structure of AgRhCl.

Summary:
Density of states at the Fermi level ... 3.6 states/eV/cell
Energy above the most stable polymorph in this dataset ... 104 meV per atom

a b c (Å): 3.0471 3.0471 11.5535
angles (deg): 90.00 90.00 90.00
Closest atoms and distances in Å follow each position.
Space group I4mm (No. 107)
Inequivalent atoms, fractional coordinates:
Ag 0.0000 0.0000 0.0000 x2  4 Rh 2.86, 4 Ag 3.05, 4 Cl 3.20
Rh 0.0000 0.0000 0.6632 x2  4 Cl 2.64, 4 Ag 2.86
Cl 0.0000 0.0000 0.2955 x2  4 Rh 2.64


(3)
DFT (PBE-GGA) results for an optimized crystal structure of Ag2RhCl.

Summary:
Density of states at the Fermi level ... 3.1 states/eV/cell
Energy above the most stable polymorph in this dataset ... 106 meV per atom

a b c (Å): 3.0258 3.0258 7.6988
angles (deg): 90.00 90.00 90.00
Closest atoms and distances in Å follow each position.
Space group P4mm (No. 99)
Inequivalent atoms, fractional coordinates:
Ag 0.0000 0.0000 0.0000 x1  4 Rh 2.85, 8 Ag 2.90-3.03
Ag 0.5000 0.5000 0.2534 x1  8 Ag 2.90-3.03, 4 Cl 3.09
Rh 0.5000 0.5000 0.7547 x1  4 Cl 2.69, 4 Ag 2.85
Cl 0.0000 0.0000 0.5426 x1  4 Rh 2.69


(4)
DFT (PBE-GGA) results for an optimized crystal structure of Ag2RhCl.

Summary:
Density of states at the Fermi level ... 17.3 states/eV/cell
Energy above the most stable polymorph in this dataset ... 381 meV per atom

a b c (Å): 6.6408 6.6408 6.6408
angles (deg): 90.00 90.00 90.00
Closest atoms and distances in Å follow each position.
Space group Fm-3m (No. 225)
Inequivalent atoms, fractional coordinates:
Ag 0.2500 0.2500 0.2500 x8  4 Cl 2.88, 4 Rh 2.88
Rh 0.0000 0.0000 0.0000 x4  8 Ag 2.88
Cl 0.0000 0.0000 0.5000 x4  8 Ag 2.88


(5)
DFT (PBE-GGA) results for an optimized crystal structure of Ag2RhCl.

Summary:
Density of states at the Fermi level ... 2.4 states/eV/cell
Energy above the most stable polymorph in this dataset ... 7 meV per atom

a b c (Å): 3.8449 3.0959 6.8713
angles (deg): 90.00 105.84 90.00
Closest atoms and distances in Å follow each position.
Space group Pm (No. 6)
Inequivalent atoms, fractional coordinates:
Ag 0.0000 0.0000 0.0000 x1  4 Rh 2.80, 6 Ag 2.88-3.10
Ag 0.3896 0.5000 0.7743 x1  1 Rh 2.81, 6 Ag 2.88-3.10
Rh 0.5970 0.5000 0.1992 x1  2 Cl 2.31
Cl 0.7272 0.0000 0.4587 x1  2 Rh 2.31


(6)
DFT (PBE-GGA) results for an optimized crystal structure of Ag2RhCl.

Summary:
Density of states at the Fermi level ... 0.7 states/eV/cell
Energy above the most stable polymorph in this dataset ... 0 meV per atom

a b c (Å): 9.1859 3.0755 6.3121
angles (deg): 90.00 103.13 90.00
Closest atoms and distances in Å follow each position.
Space group Cm (No. 8)
Inequivalent atoms, fractional coordinates:
Ag 0.0000 0.0000 0.0000 x2  3 Rh 2.73-2.80, 3 Ag 2.78-2.91
Ag 0.2370 0.0000 0.7934 x2  1 Cl 2.65, 3 Ag 2.78-2.91, 2 Rh 2.82
Rh 0.2538 0.5000 0.1731 x2  2 Cl 2.29
Cl 0.3460 0.0000 0.4393 x2  2 Rh 2.29


(7)
DFT (PBE-GGA) results for an optimized crystal structure of Ag2RhCl.

Summary:
Density of states at the Fermi level ... 2.5 states/eV/cell
Energy above the most stable polymorph in this dataset ... 209 meV per atom

a b c (Å): 3.0709 4.5864 4.9318
angles (deg): 90.00 90.00 90.00
Closest atoms and distances in Å follow each position.
Space group Pmmm (No. 47)
Inequivalent atoms, fractional coordinates:
Ag 0.0000 0.0000 0.0000 x1  6 Ag 2.76-3.07, 4 Cl 2.90
Ag 0.5000 0.5000 0.0000 x1  6 Ag 2.76-3.07, 4 Rh 2.90
Rh 0.0000 0.5000 0.5000 x1  4 Cl 2.76, 4 Ag 2.90, 2 Rh 3.07
Cl 0.5000 0.0000 0.5000 x1  4 Rh 2.76, 4 Ag 2.90, 2 Cl 3.07


(8)
DFT (PBE-GGA) results for an optimized crystal structure of Ag3RhCl6.

Summary:
Energy above the most stable polymorph in this dataset ... 15 meV per atom

a b c (Å): 6.6615 6.6689 11.9296
angles (deg): 90.00 123.26 90.00
Closest atoms and distances in Å follow each position.
Space group P2_1/c (No. 14)
Inequivalent atoms, fractional coordinates:
Ag 0.0000 0.0000 0.0000 x2  4 Cl 2.62-2.77
Ag 0.2467 0.0523 0.7378 x4  4 Cl 2.65-2.75
Rh 0.5000 0.0000 0.5000 x2  6 Cl 2.37-2.38
Cl 0.1639 0.0759 0.2816 x4  1 Rh 2.38, 1 Ag 2.65
Cl 0.2537 0.6719 0.0551 x4  1 Rh 2.37, 1 Ag 2.62
Cl 0.4219 0.2017 0.0795 x4  1 Rh 2.38


(9)
DFT (PBE-GGA) results for an optimized crystal structure of AgRhCl2.

Summary:
Density of states at the Fermi level ... 0.9 states/eV/cell
Energy above the most stable polymorph in this dataset ... 264 meV per atom

a b c (Å): 3.9494 3.9494 17.8140
angles (deg): 90.00 90.00 120.00
Closest atoms and distances in Å follow each position.
Space group R-3m (No. 166, hexagonal axes)
Inequivalent atoms, fractional coordinates:
Ag 0.0000 0.0000 0.0000 x3  6 Cl 2.81
Rh 0.0000 0.0000 0.5000 x3  6 Cl 2.64
Cl 0.0000 0.0000 0.2414 x6  3 Rh 2.64, 3 Ag 2.81


(10)
DFT (PBE-GGA) results for an optimized crystal structure of AgRhCl2.

Summary:
Density of states at the Fermi level ... 7.8 states/eV/cell
Energy above the most stable polymorph in this dataset ... 339 meV per atom

a b c (Å): 6.8734 7.5434 3.2149
angles (deg): 90.00 90.35 90.00
Closest atoms and distances in Å follow each position.
Space group C2/m (No. 12)
Inequivalent atoms, fractional coordinates:
Ag 0.0000 0.0000 0.0000 x2  4 Cl 2.55
Rh 0.0000 0.5000 0.0000 x2  4 Cl 2.55
Cl 0.2500 0.2500 0.0000 x4  2 Rh 2.55, 2 Ag 2.55


(11)
DFT (PBE-GGA) results for an optimized crystal structure of Ag2RhCl.

Summary:
Density of states at the Fermi level ... 4.8 states/eV/cell
Energy above the most stable polymorph in this dataset ... 304 meV per atom

a b c (Å): 4.9446 4.9446 2.9212
angles (deg): 90.00 90.00 90.00
Closest atoms and distances in Å follow each position.
Space group P4/mmm (No. 123)
Inequivalent atoms, fractional coordinates:
Ag 0.0000 0.5000 0.0000 x2  4 Cl 2.87, 4 Rh 2.87, 2 Ag 2.92
Rh 0.0000 0.0000 0.5000 x1  8 Ag 2.87, 2 Rh 2.92
Cl 0.5000 0.5000 0.5000 x1  8 Ag 2.87, 2 Cl 2.92


(12)
DFT (PBE-GGA) results for an optimized crystal structure of Ag7RhCl12.

Summary:
Density of states at the Fermi level ... 59.3 states/eV/cell

a b c (Å): 17.3082 17.3082 6.6126
angles (deg): 90.00 90.00 120.00
Closest atoms and distances in Å follow each position.
Space group R-3 (No. 148, hexagonal axes)
Inequivalent atoms, fractional coordinates:
Ag 0.0000 0.0000 0.0000 x3  6 Cl 2.70
Ag 0.0600 0.8075 0.4480 x18  4 Cl 2.51-2.77
Rh 0.0000 0.0000 0.5000 x3  6 Cl 2.37
Cl 0.0005 0.1105 0.2877 x18  1 Rh 2.37
Cl 0.0139 0.4448 0.2238 x18  3 Ag 2.51-2.65


(13)
DFT (PBE-GGA) results for an optimized crystal structure of Ag2RhCl.

Summary:
Density of states at the Fermi level ... 3.6 states/eV/cell
Energy above the most stable polymorph in this dataset ... 74 meV per atom

a b c (Å): 3.0456 3.0456 7.6617
angles (deg): 90.00 90.00 90.00
Closest atoms and distances in Å follow each position.
Space group P4/mmm (No. 123)
Inequivalent atoms, fractional coordinates:
Ag 0.0000 0.0000 0.2424 x2  4 Rh 2.84, 4 Cl 2.92, 4 Ag 3.05
Rh 0.5000 0.5000 0.0000 x1  8 Ag 2.84, 4 Rh 3.05
Cl 0.5000 0.5000 0.5000 x1  8 Ag 2.92, 4 Cl 3.05


(14)
DFT (PBE-GGA) results for an optimized crystal structure of AgRhCl2.

Summary:
Density of states at the Fermi level ... 7.2 states/eV/cell
Energy above the most stable polymorph in this dataset ... 444 meV per atom

a b c (Å): 6.7038 6.7157 3.2581
angles (deg): 90.00 90.00 90.00
Closest atoms and distances in Å follow each position.
Space group Cmmm (No. 65)
Inequivalent atoms, fractional coordinates:
Ag 0.0000 0.0000 0.0000 x2  8 Cl 2.88
Rh 0.0000 0.5000 0.0000 x2  8 Cl 2.88
Cl 0.2500 0.2500 0.5000 x4  4 Rh 2.88, 4 Ag 2.88


(15)
DFT (PBE-GGA) results for an optimized crystal structure of AgRhCl2.

Summary:
Density of states at the Fermi level ... 13.4 states/eV/cell
Energy above the most stable polymorph in this dataset ... 773 meV per atom

a b c (Å): 6.7113 6.7113 6.7113
angles (deg): 90.00 90.00 90.00
Closest atoms and distances in Å follow each position.
Space group F-43m (No. 216)
Inequivalent atoms, fractional coordinates:
Ag 0.0000 0.0000 0.0000 x4  4 Rh 2.91, 4 Cl 2.91
Rh 0.2500 0.2500 0.7500 x4  4 Cl 2.91, 4 Ag 2.91
Cl 0.0000 0.0000 0.5000 x4  4 Cl 2.91, 4 Rh 2.91
Cl 0.2500 0.2500 0.2500 x4  4 Cl 2.91, 4 Ag 2.91


(16)
DFT (PBE-GGA) results for an optimized crystal structure of Ag2RhCl.

Summary:
Density of states at the Fermi level ... 7.8 states/eV/cell
Energy above the most stable polymorph in this dataset ... 42 meV per atom

a b c (Å): 3.0802 3.0802 25.7447
angles (deg): 90.00 90.00 120.00
Closest atoms and distances in Å follow each position.
Space group R-3m (No. 166, hexagonal axes)
Inequivalent atoms, fractional coordinates:
Ag 0.0000 0.0000 0.2489 x6  3 Cl 2.76, 3 Rh 2.81, 6 Ag 3.08
Rh 0.0000 0.0000 0.0000 x3  6 Ag 2.81, 6 Rh 3.08
Cl 0.0000 0.0000 0.5000 x3  6 Ag 2.76, 6 Cl 3.08


(17)
DFT (PBE-GGA) results for an optimized crystal structure of Ag2RhCl.

Summary:
Density of states at the Fermi level ... 23.4 states/eV/cell
Energy above the most stable polymorph in this dataset ... 336 meV per atom

a b c (Å): 6.5845 6.5845 6.5845
angles (deg): 90.00 90.00 90.00
Closest atoms and distances in Å follow each position.
Space group F-43m (No. 216)
Inequivalent atoms, fractional coordinates:
Ag 0.0000 0.0000 0.0000 x4  4 Rh 2.85, 4 Ag 2.85
Ag 0.2500 0.2500 0.2500 x4  4 Cl 2.85, 4 Ag 2.85
Rh 0.2500 0.2500 0.7500 x4  4 Cl 2.85, 4 Ag 2.85
Cl 0.0000 0.0000 0.5000 x4  4 Ag 2.85, 4 Rh 2.85


(18)
DFT (PBE-GGA) results for an optimized crystal structure of Ag2RhCl.

Summary:
Density of states at the Fermi level ... 10.4 states/eV/cell
Energy above the most stable polymorph in this dataset ... 319 meV per atom

a b c (Å): 4.1814 4.1814 8.1381
angles (deg): 90.00 90.00 90.00
Closest atoms and distances in Å follow each position.
Space group I-4m2 (No. 119)
Inequivalent atoms, fractional coordinates:
Ag 0.0000 0.0000 0.0000 x2  4 Cl 2.92, 4 Ag 2.92, 4 Rh 2.96
Ag 0.0000 0.5000 0.2500 x2  4 Rh 2.92, 4 Ag 2.92, 4 Cl 2.96
Rh 0.0000 0.0000 0.5000 x2  4 Cl 2.92, 8 Ag 2.92-2.96
Cl 0.0000 0.5000 0.7500 x2  4 Rh 2.92, 8 Ag 2.92-2.96


(19)
DFT (PBE-GGA) results for an optimized crystal structure of Ag2RhCl.

Summary:
Density of states at the Fermi level ... 2.9 states/eV/cell
Energy above the most stable polymorph in this dataset ... 14 meV per atom

a b c (Å): 3.0270 4.5545 11.8705
angles (deg): 90.00 90.00 90.00
Closest atoms and distances in Å follow each position.
Space group Imm2 (No. 44)
Inequivalent atoms, fractional coordinates:
Ag 0.0000 0.0000 0.0000 x2  4 Ag 2.79-3.03, 4 Rh 2.84
Ag 0.0000 0.5000 0.1365 x2  4 Ag 2.79-3.03, 2 Rh 2.82
Rh 0.0000 0.0000 0.4357 x2  2 Cl 2.31
Cl 0.0000 0.5000 0.7885 x2  2 Rh 2.31


(20)
DFT (PBE-GGA) results for an optimized crystal structure of AgRhCl.

Summary:
Density of states at the Fermi level ... 17.1 states/eV/cell
Energy above the most stable polymorph in this dataset ... 328 meV per atom

a b c (Å): 6.2486 6.2486 6.2486
angles (deg): 90.00 90.00 90.00
Closest atoms and distances in Å follow each position.
Space group F-43m (No. 216)
Inequivalent atoms, fractional coordinates:
Ag 0.0000 0.0000 0.0000 x4  4 Rh 2.71
Rh 0.2500 0.2500 0.7500 x4  4 Cl 2.71, 4 Ag 2.71
Cl 0.0000 0.0000 0.5000 x4  4 Rh 2.71


In order of appearance, uncorrected energy = -3.303, -3.676, -3.463, -3.188, -3.562, -3.569, -3.360, -3.181, -3.416, -3.341, -3.265, -2.903, -3.495, -3.236, -2.908, -3.527, -3.233, -3.250, -3.555, -3.453 eV/atom.